(1)
# Tb3Pt8Rh | Alexandria | PBE | optimized geometry
data_Tb3Pt8Rh
_cell_length_a 5.3979
_cell_length_b 5.3979
_cell_length_c 26.3843
_cell_angle_alpha 90.00
_cell_angle_beta 90.00
_cell_angle_gamma 120.00
_symmetry_space_group_name_H-M 'R 3 m'
_symmetry_Int_Tables_number 160
_symmetry_space_group_name_Hall 'R 3 -2"'
loop_
_atom_site_label
_atom_site_type_symbol
_atom_site_fract_x
_atom_site_fract_y
_atom_site_fract_z
Tb1 Tb 0.0000 0.0000 0.0000
Tb2 Tb 0.0000 0.0000 0.1313
Tb3 Tb 0.0000 0.0000 0.5232
Pt1 Pt 0.0000 0.0000 0.3205
Pt2 Pt 0.0000 0.0000 0.8209
Pt3 Pt 0.0002 0.5001 0.0710
Pt4 Pt 0.1683 0.3365 0.9037
Rh1 Rh 0.0000 0.0000 0.6444
# - E_tot (eV/atom) = -6.6711
# - E_form (meV/atom) = -874

***

(2)
# Tb3PtRh | Alexandria | PBE | optimized geometry
data_Tb3PtRh
_cell_length_a 8.650
_cell_length_b 7.289
_cell_length_c 8.181
_cell_angle_alpha 90.00
_cell_angle_beta 105.83
_cell_angle_gamma 90.00
_symmetry_space_group_name_H-M 'P 1 21/c 1'
_symmetry_Int_Tables_number 14
loop_
_symmetry_equiv_pos_as_xyz
'x,y,z'
'-x,-y,-z'
'-x,y+1/2,-z+1/2'
'x,-y+1/2,z+1/2'
loop_
_atom_site_label
_atom_site_type_symbol
_atom_site_fract_x
_atom_site_fract_y
_atom_site_fract_z
Tb1 Tb 0.051 0.002 0.218
Tb2 Tb 0.287 0.650 0.109
Tb3 Tb 0.356 0.186 0.000
Pt1 Pt 0.408 0.539 0.812
Rh1 Rh 0.059 0.188 0.521
# - E_tot (eV/atom) = -6.3537
# - relative energy among the computed polymorphs (meV per atom) = 0.0
# - E_form (meV/atom) = -897

***

Question: Look up the E_tot of the first one.
Answer: -6.6711 eV/atom

***

Please write out number 1 again, unchanged.
# Tb3Pt8Rh | Alexandria | PBE | optimized geometry
data_Tb3Pt8Rh
_cell_length_a 5.3979
_cell_length_b 5.3979
_cell_length_c 26.3843
_cell_angle_alpha 90.00
_cell_angle_beta 90.00
_cell_angle_gamma 120.00
_symmetry_space_group_name_H-M 'R 3 m'
_symmetry_Int_Tables_number 160
_symmetry_space_group_name_Hall 'R 3 -2"'
loop_
_atom_site_label
_atom_site_type_symbol
_atom_site_fract_x
_atom_site_fract_y
_atom_site_fract_z
Tb1 Tb 0.0000 0.0000 0.0000
Tb2 Tb 0.0000 0.0000 0.1313
Tb3 Tb 0.0000 0.0000 0.5232
Pt1 Pt 0.0000 0.0000 0.3205
Pt2 Pt 0.0000 0.0000 0.8209
Pt3 Pt 0.0002 0.5001 0.0710
Pt4 Pt 0.1683 0.3365 0.9037
Rh1 Rh 0.0000 0.0000 0.6444
# - E_tot (eV/atom) = -6.6711
# - E_form (meV/atom) = -874